The following is a GGA-PBE calculation of an optimized crystal structure of TbAlIn2Pd4, from the Alexandria database.

Cell lengths 4.6809, 4.6809, 22.9729 Å; angles 90.00, 90.00, 120.00 degrees
Space group R-3m (No. 166, hexagonal axes)
Inequivalent atoms, fractional coordinates:
1 Tb 0.0000 0.0000 0.0000 x3
2 Al 0.0000 0.0000 0.5000 x3
3 In 0.0000 0.0000 0.2520 x6
4 Pd 0.0000 0.0000 0.1309 x6
5 Pd 0.0000 0.0000 0.3900 x6

The following is a GGA-PBE calculation of an optimized crystal structure of Th2Al4InPd3, from the Alexandria database.

Cell lengths 4.3282, 4.3282, 10.7559 Å; angles 90.00, 90.00, 90.00 degrees
Space group P-4m2 (No. 115)
Inequivalent atoms, fractional coordinates:
1 Th 0.0000 0.5000 0.2393 x2
2 Al 0.0000 0.0000 0.0000 x1
3 Al 0.0000 0.5000 0.6477 x2
4 Al 0.5000 0.5000 0.0000 x1
5 In 0.0000 0.0000 0.5000 x1
6 Pd 0.0000 0.5000 0.8751 x2
7 Pd 0.5000 0.5000 0.5000 x1

| no. | formation energy (eV/atom) | final energy (eV per atom) |
| --- | --- | --- |
| 1 | -0.71 | -5.040 |
| 2 | -0.72 | -5.534 |